[1]
The following is a DFT calculation (PBE-GGA) of a relaxed GaSb3O crystal.

It has space group Pm-3m (No. 221), with a = 5.2543 Å, b = 5.2543 Å, c = 5.2543 Å, α = 90.00°, β = 90.00° and γ = 90.00°. The distinct sites, in fractional coordinates, are Ga at (0.0000, 0.0000, 0.0000), Sb at (0.0000, 0.0000, 0.5000) and O at (0.5000, 0.5000, 0.5000).

The value obtained for the uncorrected formation energy is 1.043 eV per atom. The calculation puts the offset from the most stable computed form at 1010.9 meV per atom.

---

[2]
The following is a DFT calculation (PBE-GGA) of a relaxed GaSb2O6 crystal.

It has space group P4_2/mnm (No. 136), with a = 4.7781 Å, b = 4.7781 Å, c = 9.5732 Å, α = 90.00°, β = 90.00° and γ = 90.00°. The distinct sites, in fractional coordinates, are Ga at (0.0000, 0.0000, 0.0000), Sb at (0.0000, 0.0000, 0.3328), O at (0.1917, 0.1917, 0.1641) and O at (0.1956, 0.1956, 0.5000).

The value obtained for the uncorrected formation energy is -1.454 eV per atom. The calculation puts the offset from the most stable computed form at 0.0 meV per atom.

---

[3]
The following is a DFT calculation (PBE-GGA) of a relaxed GaSbO4 crystal.

It has space group P2_1/c (No. 14), with a = 5.6025 Å, b = 4.6973 Å, c = 5.6295 Å, α = 90.00°, β = 113.80° and γ = 90.00°. The distinct sites, in fractional coordinates, are Ga at (0.0000, 0.0000, 0.0000), Sb at (0.5000, 0.0000, 0.5000), O at (0.1562, 0.1914, 0.3439) and O at (0.3460, 0.6980, 0.6525).

The value obtained for the uncorrected formation energy is -1.590 eV per atom.

---

[4]
The following is a DFT calculation (PBE-GGA) of a relaxed GaSb2O crystal.

It has space group Fm-3m (No. 225), with a = 6.6757 Å, b = 6.6757 Å, c = 6.6757 Å, α = 90.00°, β = 90.00° and γ = 90.00°. The distinct sites, in fractional coordinates, are Ga at (0.0000, 0.0000, 0.0000), Sb at (0.2500, 0.2500, 0.2500) and O at (0.0000, 0.0000, 0.5000).

The value obtained for the uncorrected formation energy is 0.122 eV per atom. The calculation puts the offset from the most stable computed form at 303.4 meV per atom.

---

[5]
The following is a DFT calculation (PBE-GGA) of a relaxed GaSbO2 crystal.

It has space group Fm-3m (No. 225), with a = 6.0042 Å, b = 6.0042 Å, c = 6.0042 Å, α = 90.00°, β = 90.00° and γ = 90.00°. The distinct sites, in fractional coordinates, are Ga at (0.0000, 0.0000, 0.0000), Sb at (0.0000, 0.0000, 0.5000) and O at (0.2500, 0.2500, 0.2500).

The value obtained for the uncorrected formation energy is -0.364 eV per atom. The calculation puts the offset from the most stable computed form at 924.8 meV per atom.

---

[6]
The following is a DFT calculation (PBE-GGA) of a relaxed GaSbO2 crystal.

It has space group R-3m (No. 166, hexagonal axes), with a = 3.3726 Å, b = 3.3726 Å, c = 20.1431 Å, α = 90.00°, β = 90.00° and γ = 120.00°. The distinct sites, in fractional coordinates, are Ga at (0.0000, 0.0000, 0.0000), Sb at (0.0000, 0.0000, 0.5000) and O at (0.0000, 0.0000, 0.1039).

The value obtained for the uncorrected formation energy is -0.768 eV per atom. The calculation puts the offset from the most stable computed form at 520.1 meV per atom.

---

[7]
The following is a DFT calculation (PBE-GGA) of a relaxed GaSbO2 crystal.

It has space group R-3m (No. 166, hexagonal axes), with a = 3.1005 Å, b = 3.1005 Å, c = 19.8001 Å, α = 90.00°, β = 90.00° and γ = 120.00°. The distinct sites, in fractional coordinates, are Ga at (0.0000, 0.0000, 0.0000), Sb at (0.0000, 0.0000, 0.5000) and O at (0.0000, 0.0000, 0.3841).

The value obtained for the uncorrected formation energy is -1.288 eV per atom. The calculation puts the offset from the most stable computed form at 0.0 meV per atom.

---

[8]
The following is a DFT calculation (PBE-GGA) of a relaxed Ga2SbO5 crystal.

It has space group C2/c (No. 15), with a = 10.1430 Å, b = 5.3835 Å, c = 7.3637 Å, α = 90.00°, β = 110.74° and γ = 90.00°. The distinct sites, in fractional coordinates, are Ga at (0.1328, 0.0098, 0.2145), Sb at (0.0000, 0.5000, 0.0000), O at (0.0000, 0.2962, 0.7500), O at (0.0809, 0.1464, 0.4418) and O at (0.1949, 0.3360, 0.1648).

The value obtained for the uncorrected formation energy is -1.518 eV per atom.

---

[9]
The following is a DFT calculation (PBE-GGA) of a relaxed Ga2SbO6 crystal.

It has space group P4_2/mnm (No. 136), with a = 4.6621 Å, b = 4.6621 Å, c = 9.1794 Å, α = 90.00°, β = 90.00° and γ = 90.00°. The distinct sites, in fractional coordinates, are Ga at (0.0000, 0.0000, 0.1658), Sb at (0.0000, 0.0000, 0.5000), O at (0.1947, 0.1947, 0.0000) and O at (0.1956, 0.1956, 0.3329).

The value obtained for the uncorrected formation energy is -1.463 eV per atom.

---

[10]
The following is a DFT calculation (PBE-GGA) of a relaxed GaSb2O6 crystal.

It has space group P321 (No. 150), with a = 8.8804 Å, b = 8.8804 Å, c = 4.7004 Å, α = 90.00°, β = 90.00° and γ = 120.00°. The distinct sites, in fractional coordinates, are Ga at (0.0000, 0.0000, 0.0000), Ga at (0.3333, 0.6667, 0.5073), Sb at (0.0000, 0.3063, 0.5000), Sb at (0.0000, 0.6407, 0.0000), O at (0.1009, 0.8840, 0.7674), O at (0.1151, 0.5339, 0.7328) and O at (0.2205, 0.7752, 0.2793).

The value obtained for the uncorrected formation energy is -1.446 eV per atom. The calculation puts the offset from the most stable computed form at 7.2 meV per atom.

---

[11]
The following is a DFT calculation (PBE-GGA) of a relaxed Ga3SbO crystal.

It has space group Pm-3m (No. 221), with a = 5.3934 Å, b = 5.3934 Å, c = 5.3934 Å, α = 90.00°, β = 90.00° and γ = 90.00°. The distinct sites, in fractional coordinates, are Ga at (0.0000, 0.0000, 0.5000), Sb at (0.0000, 0.0000, 0.0000) and O at (0.5000, 0.5000, 0.5000).

The value obtained for the uncorrected formation energy is 0.849 eV per atom. The calculation puts the offset from the most stable computed form at 1076.9 meV per atom.

---

[12]
The following is a DFT calculation (PBE-GGA) of a relaxed GaSbO4 crystal.

It has space group Cmmm (No. 65), with a = 6.4622 Å, b = 6.7406 Å, c = 3.0978 Å, α = 90.00°, β = 90.00° and γ = 90.00°. The distinct sites, in fractional coordinates, are Ga at (0.0000, 0.0000, 0.0000), Sb at (0.0000, 0.5000, 0.5000), O at (0.0000, 0.3063, 0.0000) and O at (0.1925, 0.0000, 0.5000).

The value obtained for the uncorrected formation energy is -1.589 eV per atom.

---

[13]
The following is a DFT calculation (PBE-GGA) of a relaxed GaSbO2 crystal.

It has space group I-42d (No. 122), with a = 5.3185 Å, b = 5.3185 Å, c = 8.8936 Å, α = 90.00°, β = 90.00° and γ = 90.00°. The distinct sites, in fractional coordinates, are Ga at (0.0000, 0.0000, 0.0000), Sb at (0.0000, 0.0000, 0.5000) and O at (0.1332, 0.2500, 0.1250).

The value obtained for the uncorrected formation energy is -0.988 eV per atom. The calculation puts the offset from the most stable computed form at 300.3 meV per atom.

---

[14]
The following is a DFT calculation (PBE-GGA) of a relaxed Ga3SbO crystal.

It has space group Pm-3m (No. 221), with a = 4.5517 Å, b = 4.5517 Å, c = 4.5517 Å, α = 90.00°, β = 90.00° and γ = 90.00°. The distinct sites, in fractional coordinates, are Ga at (0.0000, 0.0000, 0.5000), Sb at (0.5000, 0.5000, 0.5000) and O at (0.0000, 0.0000, 0.0000).

The value obtained for the uncorrected formation energy is -0.227 eV per atom. The calculation puts the offset from the most stable computed form at 0.0 meV per atom.

---

[15]
The following is a DFT calculation (PBE-GGA) of a relaxed GaSb3O crystal.

It has space group Pm-3m (No. 221), with a = 4.8274 Å, b = 4.8274 Å, c = 4.8274 Å, α = 90.00°, β = 90.00° and γ = 90.00°. The distinct sites, in fractional coordinates, are Ga at (0.0000, 0.0000, 0.0000), Sb at (0.0000, 0.5000, 0.5000) and O at (0.5000, 0.5000, 0.5000).

The value obtained for the uncorrected formation energy is 0.032 eV per atom. The calculation puts the offset from the most stable computed form at 0.0 meV per atom.

---

[16]
The following is a DFT calculation (PBE-GGA) of a relaxed GaSbO crystal.

It has space group Pnma (No. 62), with a = 4.4576 Å, b = 3.1069 Å, c = 16.4205 Å, α = 90.00°, β = 90.00° and γ = 90.00°. The distinct sites, in fractional coordinates, are Ga at (0.2429, 0.2500, 0.0273), Sb at (0.0834, 0.7500, 0.8072) and O at (0.0342, 0.2500, 0.5670).

The value obtained for the uncorrected formation energy is -0.786 eV per atom.

---

[17]
The following is a DFT calculation (PBE-GGA) of a relaxed ScGaSb2O crystal.

It has space group P4/mmm (No. 123), with a = 5.1227 Å, b = 5.1227 Å, c = 4.0962 Å, α = 90.00°, β = 90.00° and γ = 90.00°. The distinct sites, in fractional coordinates, are Sc at (0.0000, 0.0000, 0.0000), Ga at (0.5000, 0.5000, 0.0000), Sb at (0.0000, 0.5000, 0.5000) and O at (0.0000, 0.0000, 0.5000).

The value obtained for the uncorrected formation energy is -0.634 eV per atom.

---

[18]
The following is a DFT calculation (PBE-GGA) of a relaxed ScGa2SbO8 crystal.

It has space group I-4m2 (No. 119), with a = 6.6173 Å, b = 6.6173 Å, c = 6.6168 Å, α = 90.00°, β = 90.00° and γ = 90.00°. The distinct sites, in fractional coordinates, are Sc at (0.0000, 0.0000, 0.0000), Ga at (0.0000, 0.0000, 0.5000), Ga at (0.0000, 0.5000, 0.2500), Sb at (0.0000, 0.5000, 0.7500), O at (0.0000, 0.1980, 0.6964) and O at (0.0000, 0.3128, 0.0443).

The value obtained for the uncorrected formation energy is -1.564 eV per atom.

---

[19]
The following is a DFT calculation (PBE-GGA) of a relaxed ScGaSbO6 crystal.

It has space group P-31c (No. 163), with a = 5.1912 Å, b = 5.1912 Å, c = 9.0604 Å, α = 90.00°, β = 90.00° and γ = 120.00°. The distinct sites, in fractional coordinates, are Sc at (0.0000, 0.0000, 0.0000), Ga at (0.3333, 0.6667, 0.2500), Sb at (0.3333, 0.6667, 0.7500) and O at (0.0001, 0.3448, 0.1320).

The value obtained for the uncorrected formation energy is -1.924 eV per atom.

---

[20]
The following is a DFT calculation (PBE-GGA) of a relaxed Sc4GaSbO crystal.

It has space group Cmcm (No. 63), with a = 5.9924 Å, b = 15.2375 Å, c = 5.9926 Å, α = 90.00°, β = 90.00° and γ = 90.00°. The distinct sites, in fractional coordinates, are Sc at (0.0000, 0.0745, 0.2500), Sc at (0.0000, 0.4138, 0.2500), Sc at (0.2500, 0.2500, 0.0000), Ga at (0.0000, 0.1130, 0.7500), Sb at (0.0000, 0.3938, 0.7500) and O at (0.0000, 0.2524, 0.2500).

The value obtained for the uncorrected formation energy is -1.315 eV per atom.